Computed, not measured: a relaxed FeCu2SeO6 crystal at the PBE+U level of DFT.

Values from the calculation:
- spin magnetization (μB/cell) = 4.1
- SG = No. 15
- crystal system = monoclinic
- D(E_F) (states/eV/atom) = 0.59
- final energy (eV per atom) = -5.289

abc: 5.0812 6.5688 6.5688
angles: 83.82 83.78 83.78
Atoms (fractional coordinates):
Cu: 0.3085 0.4038 0.2134
Cu: 0.1915 0.7866 0.5962
Cu: 0.8085 0.2134 0.4038
Cu: 0.6915 0.5962 0.7866
O: 0.3484 0.5173 0.7245
O: 0.1516 0.2755 0.4827
O: 0.9092 0.3398 0.8618
O: 0.8484 0.7245 0.5173
O: 0.1112 0.9799 0.8138
O: 0.3888 0.1862 0.0201
O: 0.0908 0.6602 0.1382
O: 0.4092 0.8618 0.3398
O: 0.6112 0.8138 0.9799
O: 0.6516 0.4827 0.2755
O: 0.5908 0.1382 0.6602
O: 0.8888 0.0201 0.1862
Fe: 0.7500 0.0856 0.9144
Fe: 0.2500 0.9144 0.0856
Se: 0.7500 0.7360 0.2640
Se: 0.2500 0.2640 0.7360